# SiTc2Ir (PBEsol, relaxed)
# DOS(E_F), states/eV per cell: 3.9
# DFT total energy, eV/atom: -9.62
data_SiTc2Ir
_chemical_formula_sum 'Si1 Tc2 Ir1'
_cell_length_a 4.425
_cell_length_b 4.425
_cell_length_c 2.799
_cell_angle_alpha 90.00
_cell_angle_beta 90.00
_cell_angle_gamma 90.00
_space_group_name_H-M_alt 'P 1'
_space_group_IT_number 1
_space_group_name_Hall 'P 1'
loop_
_atom_site_label
_atom_site_type_symbol
_atom_site_fract_x
_atom_site_fract_y
_atom_site_fract_z
Si1 Si 0.000 0.000 0.000
Tc1 Tc 0.000 0.500 0.500
Tc2 Tc 0.500 0.000 0.500
Ir1 Ir 0.500 0.500 0.000